Compound: NaSmCd
Source: OQMD
Functional: PBE-GGA
Structure: optimized geometry

Summary:
Energy above the lowest structure with this stoichiometry ... 0 meV/atom
E_tot ... -2.1234 eV/atom

abc: 7.227 7.227 7.227
angles: 90.00 90.00 90.00
Space group F-43m (No. 216)
Unique sites:
Na 0.000 0.000 0.000 [4 per cell]
Sm 0.000 0.000 0.500 [4 per cell]
Cd 0.250 0.250 0.250 [4 per cell]

Compound: NaSmCd
Source: OQMD
Functional: PBE-GGA
Structure: optimized geometry

Summary:
Energy above the lowest structure with this stoichiometry ... 264 meV/atom
E_tot ... -1.8594 eV/atom

abc: 7.330 7.330 7.330
angles: 90.00 90.00 90.00
Space group F-43m (No. 216)
Unique sites:
Na 0.000 0.000 0.000 [4 per cell]
Sm 0.250 0.250 0.750 [4 per cell]
Cd 0.000 0.000 0.500 [4 per cell]

Compound: NaSmCdTe3
Source: OQMD
Functional: PBE-GGA
Structure: optimized geometry

Summary:
Energy above the lowest structure with this stoichiometry ... 30 meV/atom
E_tot ... -3.6699 eV/atom

abc: 13.079 4.507 13.341
angles: 90.00 90.00 90.00
Space group Pnma (No. 62)
Unique sites:
Na 0.145 0.250 0.005 [4 per cell]
Sm 0.041 0.250 0.324 [4 per cell]
Cd 0.243 0.250 0.712 [4 per cell]
Te 0.049 0.750 0.153 [4 per cell]
Te 0.087 0.250 0.569 [4 per cell]
Te 0.220 0.750 0.843 [4 per cell]

Compound: NaSmCdTe3
Source: OQMD
Functional: PBE-GGA
Structure: optimized geometry

Summary:
Energy above the lowest structure with this stoichiometry ... 0 meV/atom
E_tot ... -3.6996 eV/atom

abc: 11.833 4.443 14.775
angles: 90.00 90.00 90.00
Space group Pnma (No. 62)
Unique sites:
Na 0.230 0.250 0.019 [4 per cell]
Sm 0.011 0.750 0.746 [4 per cell]
Cd 0.241 0.750 0.223 [4 per cell]
Te 0.048 0.750 0.110 [4 per cell]
Te 0.073 0.250 0.604 [4 per cell]
Te 0.240 0.250 0.344 [4 per cell]

Compound: NaSmCdTe3
Source: OQMD
Functional: PBE-GGA
Structure: optimized geometry

Summary:
Energy above the lowest structure with this stoichiometry ... 0 meV/atom
E_tot ... -3.6998 eV/atom

abc: 4.418 14.872 11.823
angles: 90.00 90.00 90.00
Space group Cmcm (No. 63)
Unique sites:
Na 0.000 0.234 0.250 [4 per cell]
Sm 0.000 0.000 0.000 [4 per cell]
Cd 0.000 0.470 0.750 [4 per cell]
Te 0.000 0.092 0.750 [4 per cell]
Te 0.000 0.356 0.560 [8 per cell]

Compound: NaSmCdTe3
Source: OQMD
Functional: PBE-GGA
Structure: optimized geometry

Summary:
Energy above the lowest structure with this stoichiometry ... 68 meV/atom
E_tot ... -3.6314 eV/atom

abc: 19.919 4.421 9.289
angles: 90.00 104.18 90.00
Space group C2/m (No. 12)
Unique sites:
Na 0.126 0.000 0.078 [4 per cell]
Sm 0.178 0.000 0.597 [4 per cell]
Cd 0.033 0.500 0.723 [4 per cell]
Te 0.000 0.000 0.500 [2 per cell]
Te 0.000 0.500 0.000 [2 per cell]
Te 0.164 0.500 0.356 [4 per cell]
Te 0.179 0.500 0.837 [4 per cell]

Compound: NaSmCdTe3
Source: OQMD
Functional: PBE-GGA
Structure: optimized geometry

Summary:
Energy above the lowest structure with this stoichiometry ... 3 meV/atom
E_tot ... -3.6967 eV/atom

abc: 14.829 4.455 12.075
angles: 90.00 90.00 90.00
Space group Pnma (No. 62)
Unique sites:
Na 0.232 0.250 0.066 [4 per cell]
Sm 0.019 0.250 0.344 [4 per cell]
Cd 0.012 0.750 0.098 [4 per cell]
Te 0.110 0.750 0.882 [4 per cell]
Te 0.113 0.250 0.573 [4 per cell]
Te 0.152 0.750 0.255 [4 per cell]

Compound: NaSmCdTe3
Source: OQMD
Functional: PBE-GGA
Structure: optimized geometry

Summary:
Energy above the lowest structure with this stoichiometry ... 3 meV/atom
E_tot ... -3.6972 eV/atom

abc: 8.730 4.452 10.706
angles: 90.00 104.53 90.00
Space group P2_1/m (No. 11)
Unique sites:
Na 0.220 0.250 0.245 [2 per cell]
Sm 0.319 0.750 0.857 [2 per cell]
Cd 0.084 0.250 0.604 [2 per cell]
Te 0.064 0.250 0.862 [2 per cell]
Te 0.257 0.750 0.538 [2 per cell]
Te 0.436 0.750 0.157 [2 per cell]

Compound: NaSmCdTe3
Source: OQMD
Functional: PBE-GGA
Structure: optimized geometry

Summary:
Energy above the lowest structure with this stoichiometry ... 53 meV/atom
E_tot ... -3.6465 eV/atom

abc: 8.759 4.541 18.919
angles: 90.00 90.00 90.00
Space group Pnma (No. 62)
Unique sites:
Na 0.066 0.250 0.196 [4 per cell]
Sm 0.225 0.250 0.960 [4 per cell]
Cd 0.056 0.250 0.665 [4 per cell]
Te 0.008 0.250 0.424 [4 per cell]
Te 0.129 0.750 0.067 [4 per cell]
Te 0.223 0.250 0.791 [4 per cell]

Compound: NaCd2Sn2
Source: OQMD
Functional: PBE-GGA
Structure: optimized geometry

Summary:
E_tot ... -2.3081 eV/atom

abc: 4.706 4.706 12.619
angles: 90.00 90.00 90.00
Space group I4/mmm (No. 139)
Unique sites:
Na 0.000 0.000 0.000 [2 per cell]
Cd 0.000 0.500 0.250 [4 per cell]
Sn 0.000 0.000 0.388 [4 per cell]

Compound: Na2CdSn
Source: OQMD
Functional: PBE-GGA
Structure: optimized geometry

Summary:
E_tot ... -2.1034 eV/atom

abc: 5.0286 5.0286 9.9923
angles: 90.00 90.00 120.00
Space group P-6m2 (No. 187)
Unique sites:
Na 0.0000 0.0000 0.1686 [2 per cell]
Na 0.6667 0.3333 0.3301 [2 per cell]
Cd 0.3333 0.6667 0.0000 [1 per cell]
Cd 0.3333 0.6667 0.5000 [1 per cell]
Sn 0.0000 0.0000 0.5000 [1 per cell]
Sn 0.6667 0.3333 0.0000 [1 per cell]

Compound: Na2CdSnTe4
Source: OQMD
Functional: PBE-GGA
Structure: optimized geometry

Summary:
E_tot ... -3.0390 eV/atom

abc: 10.467 11.188 7.400
angles: 90.00 134.96 90.00
Space group C2 (No. 5)
Unique sites:
Na 0.000 0.000 0.000 [2 per cell]
Na 0.000 0.249 0.500 [2 per cell]
Cd 0.000 0.750 0.500 [2 per cell]
Sn 0.000 0.500 0.000 [2 per cell]
Te 0.215 0.629 0.975 [4 per cell]
Te 0.239 0.371 0.455 [4 per cell]

Among the records above, which one has the highest E_tot? number 2

Which value of E_tot does entry 9 give? -3.6465 eV/atom